Entry 1:
Compound: BeCdIr2
Source: Alexandria via LeMat-Bulk
Functional: PBE
Structure: relaxed

Geometry as POSCAR:
```
BeCdIr2
1.0
2.872 0.000 0.000
0.000 2.872 0.000
0.000 0.000 6.829
Be Ir Cd
1 2 1
Cartesian
1.436 1.436 1.707 Be
0.000 0.000 0.373 Ir
0.000 0.000 3.042 Ir
1.436 1.436 5.122 Cd
```

Computed properties:
Fermi-level density of states (states/eV/cell): 5.4
Energy of formation from the pure elements (eV/f.u.): -0.4
Energy above the lowest structure with this stoichiometry (meV/atom): 0



Entry 2:
Compound: TiMn2Re
Source: Alexandria via LeMat-Bulk
Functional: PBE
Structure: relaxed

Geometry as POSCAR:
```
TiMn2Re
1.0
4.570 -1.667 -2.490
-1.414 4.655 2.490
-3.204 0.223 4.422
Ti Mn Re
1 2 1
Cartesian
0.000 0.000 0.000 Ti
-1.220 1.289 1.826 Mn
-3.398 3.589 5.085 Mn
-2.309 2.439 3.456 Re
```

Computed properties:
Fermi-level density of states (states/eV/cell): 3.4
Energy of formation from the pure elements (eV/f.u.): 2.3



Entry 3:
Compound: MnMo2Pt
Source: Alexandria via LeMat-Bulk
Functional: PBE
Structure: relaxed

Geometry as POSCAR:
```
MnMo2Pt
1.0
3.964 0.000 0.000
0.000 2.708 0.010
0.000 2.217 5.469
Mn Mo Pt
1 2 1
Cartesian
1.982 3.694 4.109 Mn
0.000 4.783 5.374 Mo
0.000 2.605 2.844 Mo
1.982 1.231 1.370 Pt
```

Computed properties:
Fermi-level density of states (states/eV/cell): 3.0
Energy of formation from the pure elements (eV/f.u.): -0.3
Energy above the lowest structure with this stoichiometry (meV/atom): 48



Entry 4:
Compound: Rb6I
Source: Alexandria via LeMat-Bulk
Functional: PBE
Structure: relaxed

Geometry as POSCAR:
```
Rb6I
1.0
10.658 0.000 0.000
-3.553 10.048 0.000
-3.553 -5.024 8.702
Rb I
6 1
Cartesian
-1.776 5.024 4.351 Rb
1.776 6.280 2.175 Rb
-1.776 1.256 6.526 Rb
5.329 0.000 4.351 Rb
1.776 -1.256 6.526 Rb
5.329 3.768 2.175 Rb
0.000 0.000 0.000 I
```

Computed properties:
Fermi-level density of states (states/eV/cell): 4.3
Uncorrected formation energy (eV per atom): 0.104



Entry 5:
Compound: NiAs2Rh
Source: Alexandria via LeMat-Bulk
Functional: PBE
Structure: relaxed

Geometry as POSCAR:
```
NiAs2Rh
1.0
7.557 -0.008 -0.005
6.945 2.979 -0.005
6.945 1.423 2.618
As Ni Rh
2 1 1
Cartesian
21.364 4.376 2.597 As
10.808 2.214 1.314 As
5.362 1.098 0.652 Ni
16.086 3.295 1.956 Rh
```

Computed properties:
Fermi-level density of states (states/eV/cell): 2.9
Energy of formation from the pure elements (eV/f.u.): -0.5



Entry 6:
Compound: Tb2Pm6SmTh
Source: Alexandria via LeMat-Bulk
Functional: PBE
Structure: relaxed

Geometry as POSCAR:
```
Tb2Pm6SmTh
1.0
-8.866 -2.342 -3.499
4.189 -6.414 -4.423
-2.110 -1.743 8.412
Tb Pm Sm Th
4 12 2 2
Cartesian
-2.136 -7.446 0.861 Tb
0.355 -2.306 0.213 Tb
-4.651 -3.053 -0.371 Tb
-7.141 -8.193 0.277 Tb
-1.644 -2.155 5.670 Pm
-4.778 -4.157 4.860 Pm
-5.142 -8.345 -5.180 Pm
-2.009 -6.343 -4.370 Pm
0.443 -7.789 -1.893 Pm
0.738 -4.160 -3.070 Pm
-7.230 -2.710 2.383 Pm
-7.525 -6.340 3.559 Pm
0.848 -5.635 0.586 Pm
-1.857 -4.690 -1.086 Pm
-7.635 -4.864 -0.096 Pm
-4.930 -5.810 1.576 Pm
-1.770 -4.224 2.329 Sm
-5.016 -6.275 -1.839 Sm
1.802 -6.873 -4.949 Th
-8.588 -3.627 5.439 Th
```

Computed properties:
Fermi-level density of states (states/eV/cell): 29.1
Energy of formation from the pure elements (eV/f.u.): 1.4



Entry 7:
Compound: BaMnNbS2
Source: Alexandria via LeMat-Bulk
Functional: PBE
Structure: relaxed

Geometry as POSCAR:
```
BaMnNbS2
1.0
4.976 0.000 0.000
0.000 4.826 0.000
0.000 0.000 4.976
S Nb Mn Ba
2 1 1 1
Cartesian
0.000 0.000 2.488 S
2.488 0.000 0.000 S
0.000 0.000 0.000 Nb
0.000 2.413 0.000 Mn
2.488 2.413 2.488 Ba
```

Computed properties:
Fermi-level density of states (states/eV/cell): 2.6
Uncorrected formation energy (eV per atom): -0.561
Energy above the lowest structure with this stoichiometry (meV/atom): 0



Entry 8:
Compound: AlReCl3
Source: Alexandria via LeMat-Bulk
Functional: PBE
Structure: relaxed

Geometry as POSCAR:
```
AlReCl3
1.0
4.914 0.000 0.000
0.000 4.914 0.000
0.000 0.000 4.914
Re Al Cl
1 1 3
Cartesian
0.000 0.000 0.000 Re
2.457 2.457 2.457 Al
0.000 2.457 0.000 Cl
0.000 0.000 2.457 Cl
2.457 0.000 0.000 Cl
```

Computed properties:
Fermi-level density of states (states/eV/cell): 2.3
Uncorrected formation energy (eV per atom): 0.239
Energy above the lowest structure with this stoichiometry (meV/atom): 0



Entry 9:
Compound: CdIn2CoI
Source: Alexandria via LeMat-Bulk
Functional: PBE
Structure: relaxed

Geometry as POSCAR:
```
CdIn2CoI
1.0
-2.279 -5.049 0.144
3.002 -1.481 -4.417
4.416 -1.889 3.635
I Cd Co In
1 1 1 2
Cartesian
2.208 -0.944 1.817 I
0.000 0.000 0.000 Cd
2.569 -4.210 -0.319 Co
1.501 -0.740 -2.208 In
-1.139 -2.525 0.072 In
```

Computed properties:
Fermi-level density of states (states/eV/cell): 9.3
Uncorrected formation energy (eV per atom): 0.903



Entry 10:
Compound: K2Ba5Bi3O2
Source: Alexandria via LeMat-Bulk
Functional: PBE
Structure: relaxed

Geometry as POSCAR:
```
K2Ba5Bi3O2
1.0
5.409 0.000 0.000
0.000 5.409 0.000
-2.704 -2.704 15.699
K Ba Bi O
2 5 3 2
Cartesian
2.704 2.704 6.601 K
0.000 0.000 9.098 K
2.704 0.000 3.052 Ba
0.000 2.704 12.647 Ba
0.000 2.704 3.052 Ba
2.704 0.000 12.647 Ba
2.704 2.704 0.000 Ba
0.000 0.000 5.437 Bi
2.704 2.704 10.262 Bi
0.000 0.000 0.000 Bi
0.000 0.000 13.070 O
2.704 2.704 2.628 O
```

Computed properties:
Fermi-level density of states (states/eV/cell): 8.0
Uncorrected formation energy (eV per atom): -1.287



Entry 11:
Compound: K2NaMg3Cd12
Source: Alexandria via LeMat-Bulk
Functional: PBE
Structure: relaxed

Geometry as POSCAR:
```
K2NaMg3Cd12
1.0
-3.426 -7.076 -0.280
6.767 -3.809 1.262
-1.094 -0.261 7.786
K Na Mg Cd
2 1 3 12
Cartesian
1.617 -8.025 6.313 K
0.629 -3.121 2.455 K
0.000 0.000 0.000 Na
-1.713 -3.538 -0.140 Mg
3.383 -1.905 0.631 Mg
-0.547 -0.131 3.893 Mg
0.449 -4.774 7.149 Cd
2.376 -8.817 2.974 Cd
3.595 -5.256 7.189 Cd
-0.595 -7.824 3.538 Cd
-1.731 -6.963 6.384 Cd
3.968 -6.362 4.228 Cd
1.798 -6.372 1.619 Cd
-0.130 -2.329 5.794 Cd
-1.348 -5.891 1.579 Cd
2.842 -3.322 5.230 Cd
3.978 -4.183 2.384 Cd
-1.721 -4.784 4.540 Cd
```

Computed properties:
Fermi-level density of states (states/eV/cell): 8.9
Energy of formation from the pure elements (eV/f.u.): 0.8



Entry 12:
Compound: Cr2CdW
Source: Alexandria via LeMat-Bulk
Functional: PBE
Structure: relaxed

Geometry as POSCAR:
```
Cr2CdW
1.0
8.736 0.005 0.003
8.240 2.901 0.003
8.240 1.411 2.535
Cd Cr W
1 2 1
Cartesian
18.911 3.238 1.906 Cd
24.963 4.274 2.516 Cr
12.860 2.202 1.296 Cr
6.304 1.079 0.635 W
```

Computed properties:
Fermi-level density of states (states/eV/cell): 3.6
Energy of formation from the pure elements (eV/f.u.): 2.2